Record 1
The following is a PBE calculation of an optimized crystal structure of KVCd, from Alexandria.

Output
Formation enthalpy at 0 K in eV/f.u.: 1.52
Space-group type: P1
Relative energy among the computed polymorphs in eV per formula unit: 0.57
ρ in Mg/m³: 3.309

abc: 10.6009 4.1529 4.8648
angles: 105.64 99.55 89.98
With the nearest neighbours (Å) after each atom.
Fractional positions:
K 0.0366 0.3079 0.7505  2 Cd 3.50-3.86, 2 V 3.60-3.67
V 0.3749 0.3395 0.0821  1 V 1.86
K 0.7048 0.7840 0.1122  3 Cd 3.33-3.63
Cd 0.3115 0.7010 0.6513  6 V 2.80-2.96, 1 Cd 3.10
Cd 0.5262 0.1722 0.5922  3 V 2.78-3.02, 1 Cd 3.10
V 0.2891 0.0497 0.2278  1 V 1.86

Record 2
The following is a PBE calculation of an optimized crystal structure of Pm2Dy2Y4Er, from Alexandria.

Output
Formation enthalpy at 0 K in eV/f.u.: -0.02
Space-group type: C2/m
ρ in Mg/m³: 6.482

abc: 3.6071 9.5312 9.5842
angles: 115.21 90.00 100.91
With the nearest neighbours (Å) after each atom.
Fractional positions:
Dy 0.8522 0.7044 0.3357  7 Y 3.53-3.61, 3 Pm 3.56-3.59, 2 Dy 3.61
Pm 0.3345 0.6690 0.0023  3 Y 3.54-3.57, 3 Dy 3.56-3.59, 2 Er 3.59, 4 Pm 3.61-3.62
Er 0.0000 0.0000 0.0000  6 Y 3.56, 4 Pm 3.59, 2 Er 3.61
Pm 0.6655 0.3310 0.9977  3 Y 3.54-3.57, 3 Dy 3.56-3.59, 2 Er 3.59, 4 Pm 3.61-3.62
Y 0.8145 0.6290 0.6657  3 Dy 3.53-3.60, 6 Y 3.54-3.61, 1 Er 3.56, 2 Pm 3.57
Y 0.1855 0.3710 0.3343  3 Dy 3.53-3.60, 6 Y 3.54-3.61, 1 Er 3.56, 2 Pm 3.57
Y 0.5192 0.0383 0.3347  4 Dy 3.53-3.61, 5 Y 3.54-3.61, 1 Pm 3.54, 2 Er 3.56
Y 0.4808 0.9617 0.6653  4 Dy 3.53-3.61, 5 Y 3.54-3.61, 1 Pm 3.54, 2 Er 3.56
Dy 0.1478 0.2956 0.6643  7 Y 3.53-3.61, 3 Pm 3.56-3.59, 2 Dy 3.61

Record 3
The following is a PBE calculation of an optimized crystal structure of Li3Ge2Au3, from Alexandria.

Output
Formation enthalpy at 0 K in eV/f.u.: -3.01
Space-group type: Cmcm
Relative energy among the computed polymorphs in eV per formula unit: 0.00
ρ in Mg/m³: 9.013

abc: 4.4626 5.1557 13.4482
angles: 90.00 90.00 115.64
With the nearest neighbours (Å) after each atom.
Fractional positions:
Ge 0.7544 0.5088 0.8943  4 Au 2.57-2.70, 2 Li 2.84
Li 0.0665 0.1331 0.5947  5 Au 2.81-3.06, 2 Li 2.83-2.87, 3 Ge 2.84-2.91
Li 0.0665 0.1331 0.9053  5 Au 2.81-3.06, 2 Li 2.83-2.87, 3 Ge 2.84-2.91
Li 0.7210 0.4420 0.2500  3 Au 2.62-2.73, 2 Li 2.87
Ge 0.2456 0.4912 0.1057  4 Au 2.57-2.70, 2 Li 2.84
Ge 0.2456 0.4912 0.3943  4 Au 2.57-2.70, 2 Li 2.84
Li 0.2790 0.5580 0.7500  3 Au 2.62-2.73, 2 Li 2.87
Au 0.3868 0.7736 0.9304  3 Ge 2.59-2.70, 3 Li 2.62-2.81, 1 Au 2.82
Au 0.4270 0.8540 0.2500  2 Ge 2.57, 1 Li 2.73
Li 0.9335 0.8669 0.0947  5 Au 2.81-3.06, 2 Li 2.83-2.87, 3 Ge 2.84-2.91
Li 0.9335 0.8669 0.4053  5 Au 2.81-3.06, 2 Li 2.83-2.87, 3 Ge 2.84-2.91
Au 0.5730 0.1460 0.7500  2 Ge 2.57, 1 Li 2.73
Au 0.3868 0.7736 0.5696  3 Ge 2.59-2.70, 3 Li 2.62-2.81, 1 Au 2.82
Ge 0.7544 0.5088 0.6057  4 Au 2.57-2.70, 2 Li 2.84
Au 0.6132 0.2264 0.0696  3 Ge 2.59-2.70, 3 Li 2.62-2.81, 1 Au 2.82
Au 0.6132 0.2264 0.4304  3 Ge 2.59-2.70, 3 Li 2.62-2.81, 1 Au 2.82